# 1
DFT (PBE) results for a relaxed PuCo2PH crystal.

The structure belongs to space group Cmcm (No. 63); the cell edges are 3.665, 10.218 and 6.451 Å and the angles 90.00°, 90.00° and 90.00°. The asymmetric unit holds Pu at (0.000, 0.057, 0.250), Co at (0.000, 0.330, 0.056), P at (0.000, 0.222, 0.750) and H at (0.000, 0.500, 0.000).

For the uncorrected energy, the calculation gives -0.2956 Ha/atom.

***

# 2
DFT (PBE) results for a relaxed PuCoPH crystal.

The structure belongs to space group P4/nmm (No. 129, origin choice 2); the cell edges are 3.742, 3.742 and 7.555 Å and the angles 90.00°, 90.00° and 90.00°. The asymmetric unit holds Pu at (0.250, 0.250, 0.171), Co at (0.250, 0.750, 0.500), P at (0.250, 0.250, 0.665) and H at (0.250, 0.750, 0.000).

For the uncorrected energy, the calculation gives -0.3055 Ha/atom.

***

# 3
DFT (PBE) results for a relaxed Co2RePH crystal.

The structure belongs to space group P4/mmm (No. 123); the cell edges are 3.506, 3.506 and 4.020 Å and the angles 90.00°, 90.00° and 90.00°. The asymmetric unit holds Co at (0.000, 0.500, 0.000), Re at (0.000, 0.000, 0.500), P at (0.500, 0.500, 0.500) and H at (0.500, 0.500, 0.000).

For the uncorrected energy, the calculation gives -0.2517 Ha/atom.